Entry 1:
Density functional theory data (PBE) for a relaxed structure of Fe2AgRuI.

Calculated values
V = 105.7 Å³ per cell
M_tot = 1.1675 μB per atom
DOS at the Fermi energy = 3.5 states/eV/f.u.
Uncorrected formation energy = 1.51 eV per atom

a b c (Å): 4.663 4.859 4.663
angles (deg): 90.00 90.00 90.00
Sites, in units of the cell vectors:
I: 0.000 0.000 0.000
Ru: 0.000 0.500 0.000
Ag: 0.500 0.500 0.500
Fe: 0.500 0.000 0.000
Fe: 0.000 0.000 0.500

Entry 2:
Density functional theory data (PBE) for a relaxed structure of FeAg2SI.

Calculated values
V = 150.6 Å³ per cell
M_tot = 0.7130 μB per atom
DOS at the Fermi energy = 7.4 states/eV/f.u.
Uncorrected formation energy = 1.34 eV per atom

a b c (Å): 5.376 5.213 5.376
angles (deg): 90.00 90.00 90.00
Sites, in units of the cell vectors:
Ag: 0.500 0.000 0.000
I: 0.000 0.000 0.000
Fe: 0.500 0.500 0.500
Ag: 0.000 0.000 0.500
S: 0.000 0.500 0.000

Entry 3:
Density functional theory data (PBE) for a relaxed structure of FeAgSbI2.

Calculated values
V = 150.6 Å³ per cell
M_tot = 0.3468 μB per atom
DOS at the Fermi energy = 4.4 states/eV/f.u.
Uncorrected formation energy = 0.50 eV per atom

a b c (Å): 5.569 5.569 4.857
angles (deg): 90.00 90.00 90.00
Sites, in units of the cell vectors:
Fe: 0.000 0.000 0.000
Sb: 0.000 0.000 0.500
I: 0.000 0.500 0.000
I: 0.500 0.000 0.000
Ag: 0.500 0.500 0.500

Entry 4:
Density functional theory data (PBE) for a relaxed structure of FeAgSb2I.

Calculated values
V = 133.7 Å³ per cell
M_tot = 0.0000 μB per atom
DOS at the Fermi energy = 2.2 states/eV/f.u.
Uncorrected formation energy = 0.48 eV per atom

a b c (Å): 4.807 4.807 5.784
angles (deg): 90.00 90.00 90.00
Sites, in units of the cell vectors:
Sb: 0.000 0.500 0.000
Sb: 0.500 0.000 0.000
Fe: 0.000 0.000 0.000
Ag: 0.500 0.500 0.500
I: 0.000 0.000 0.500